[1]
# PBE Mn2FeRu, optimized geometry
data_Mn2FeRu
_symmetry_space_group_name_H-M 'P 1'
_symmetry_Int_Tables_number 1
_cell_length_a 4.478
_cell_length_b 4.478
_cell_length_c 4.478
_cell_angle_alpha 132.01
_cell_angle_beta 132.01
_cell_angle_gamma 70.21
loop_
_symmetry_equiv_pos_as_xyz
'x,y,z'
loop_
_atom_site_label
_atom_site_fract_x
_atom_site_fract_y
_atom_site_fract_z
Ru1 0.500 0.500 0.000
Mn1 0.000 0.000 0.000
Mn2 0.250 0.750 0.500
Fe1 0.750 0.250 0.500
# Space-group type: I-4m2, No. 119
# N(E_F): 0.890 states/eV per atom
# Total energy: -36.0 eV for the cell shown

[2]
# PBE LiTaBeH2, optimized geometry
data_LiTaBeH2
_symmetry_space_group_name_H-M 'P 1'
_symmetry_Int_Tables_number 1
_cell_length_a 3.578
_cell_length_b 4.816
_cell_length_c 3.578
_cell_angle_alpha 90.00
_cell_angle_beta 90.00
_cell_angle_gamma 90.00
loop_
_symmetry_equiv_pos_as_xyz
'x,y,z'
loop_
_atom_site_label
_atom_site_fract_x
_atom_site_fract_y
_atom_site_fract_z
Ta1 0.000 0.000 0.000
H1 0.500 0.000 0.000
H2 0.000 0.000 0.500
Be1 0.000 0.500 0.000
Li1 0.500 0.500 0.500
# Space-group type: P4/mmm, No. 123
# N(E_F): 0.329 states/eV per atom
# Total energy: -21.7 eV for the cell shown

[3]
# PBE CsUBi2O8, optimized geometry
data_CsUBi2O8
_symmetry_space_group_name_H-M 'P 1'
_symmetry_Int_Tables_number 1
_cell_length_a 5.232
_cell_length_b 5.232
_cell_length_c 8.750
_cell_angle_alpha 86.80
_cell_angle_beta 86.75
_cell_angle_gamma 88.92
loop_
_symmetry_equiv_pos_as_xyz
'x,y,z'
loop_
_atom_site_label
_atom_site_fract_x
_atom_site_fract_y
_atom_site_fract_z
O1 0.187 0.814 0.830
O2 0.687 0.687 0.018
O3 0.813 0.186 0.170
O4 0.586 0.587 0.473
O5 0.414 0.413 0.527
O6 0.186 0.813 0.169
O7 0.313 0.313 0.982
O8 0.814 0.187 0.831
Cs1 0.000 0.000 0.500
Bi1 0.461 0.461 0.189
Bi2 0.539 0.539 0.811
U1 0.000 0.000 0.000
# Space-group type: C2/m, No. 12
# Energy relative to the elements, uncorrected: -1753 meV/atom
# N(E_F): 0.005 states/eV per atom
# Total energy: -80.6 eV for the cell shown

[4]
# PBE Zn4TePb, optimized geometry
data_Zn4TePb
_symmetry_space_group_name_H-M 'P 1'
_symmetry_Int_Tables_number 1
_cell_length_a 5.618
_cell_length_b 5.618
_cell_length_c 5.618
_cell_angle_alpha 60.00
_cell_angle_beta 60.00
_cell_angle_gamma 60.00
loop_
_symmetry_equiv_pos_as_xyz
'x,y,z'
loop_
_atom_site_label
_atom_site_fract_x
_atom_site_fract_y
_atom_site_fract_z
Zn1 0.873 0.376 0.376
Zn2 0.376 0.376 0.376
Zn3 0.376 0.873 0.376
Zn4 0.376 0.376 0.873
Pb1 0.750 0.750 0.750
Te1 0.000 0.000 0.000
# Space-group type: F-43m, No. 216
# Energy relative to the elements, uncorrected: 171 meV/atom
# N(E_F): 0.856 states/eV per atom
# Total energy: -10.9 eV for the cell shown

[5]
# PBE In2S2Br, optimized geometry
data_In2S2Br
_symmetry_space_group_name_H-M 'P 1'
_symmetry_Int_Tables_number 1
_cell_length_a 3.919
_cell_length_b 3.919
_cell_length_c 8.740
_cell_angle_alpha 102.96
_cell_angle_beta 102.96
_cell_angle_gamma 90.00
loop_
_symmetry_equiv_pos_as_xyz
'x,y,z'
loop_
_atom_site_label
_atom_site_fract_x
_atom_site_fract_y
_atom_site_fract_z
In1 0.836 0.836 0.671
In2 0.164 0.164 0.329
S1 0.327 0.327 0.653
S2 0.673 0.673 0.347
Br1 0.000 0.000 0.000
# Space-group type: I4/mmm, No. 139
# Energy relative to the elements, uncorrected: -509 meV/atom
# N(E_F): 0.282 states/eV per atom
# Total energy: -17.9 eV for the cell shown

[6]
# PBE Fe5As, optimized geometry
data_Fe5As
_symmetry_space_group_name_H-M 'P 1'
_symmetry_Int_Tables_number 1
_cell_length_a 4.751
_cell_length_b 4.751
_cell_length_c 4.751
_cell_angle_alpha 60.00
_cell_angle_beta 60.00
_cell_angle_gamma 60.00
loop_
_symmetry_equiv_pos_as_xyz
'x,y,z'
loop_
_atom_site_label
_atom_site_fract_x
_atom_site_fract_y
_atom_site_fract_z
As1 0.000 0.000 0.000
Fe1 0.125 0.625 0.625
Fe2 0.625 0.625 0.125
Fe3 0.625 0.625 0.625
Fe4 0.250 0.250 0.250
Fe5 0.625 0.125 0.625
# Space-group type: F-43m, No. 216
# N(E_F): 0.751 states/eV per atom
# Total energy: -45.6 eV for the cell shown

[7]
# PBE Mg2CoOs, optimized geometry
data_Mg2CoOs
_symmetry_space_group_name_H-M 'P 1'
_symmetry_Int_Tables_number 1
_cell_length_a 5.071
_cell_length_b 5.071
_cell_length_c 5.071
_cell_angle_alpha 143.69
_cell_angle_beta 129.52
_cell_angle_gamma 63.76
loop_
_symmetry_equiv_pos_as_xyz
'x,y,z'
loop_
_atom_site_label
_atom_site_fract_x
_atom_site_fract_y
_atom_site_fract_z
Co1 0.250 0.750 0.500
Mg1 0.011 0.011 0.000
Mg2 0.489 0.489 0.000
Os1 0.750 0.250 0.500
# Space-group type: Immm, No. 71
# N(E_F): 0.614 states/eV per atom
# Total energy: -20.5 eV for the cell shown

[8]
# PBE La2Ga4Pd3Pt, optimized geometry
data_La2Ga4Pd3Pt
_symmetry_space_group_name_H-M 'P 1'
_symmetry_Int_Tables_number 1
_cell_length_a 4.432
_cell_length_b 4.432
_cell_length_c 10.161
_cell_angle_alpha 90.00
_cell_angle_beta 90.00
_cell_angle_gamma 90.00
loop_
_symmetry_equiv_pos_as_xyz
'x,y,z'
loop_
_atom_site_label
_atom_site_fract_x
_atom_site_fract_y
_atom_site_fract_z
Ga1 0.000 0.500 0.375
Ga2 0.500 0.500 0.000
Ga3 0.000 0.000 0.000
Ga4 0.500 0.000 0.625
Pt1 0.500 0.500 0.500
Pd1 0.000 0.500 0.128
Pd2 0.000 0.000 0.500
Pd3 0.500 0.000 0.872
La1 0.000 0.500 0.751
La2 0.500 0.000 0.249
# Space-group type: P-4m2, No. 115
# N(E_F): 0.861 states/eV per atom
# Total energy: -52.2 eV for the cell shown

Repeat the third record exactly.
# PBE CsUBi2O8, optimized geometry
data_CsUBi2O8
_symmetry_space_group_name_H-M 'P 1'
_symmetry_Int_Tables_number 1
_cell_length_a 5.232
_cell_length_b 5.232
_cell_length_c 8.750
_cell_angle_alpha 86.80
_cell_angle_beta 86.75
_cell_angle_gamma 88.92
loop_
_symmetry_equiv_pos_as_xyz
'x,y,z'
loop_
_atom_site_label
_atom_site_fract_x
_atom_site_fract_y
_atom_site_fract_z
O1 0.187 0.814 0.830
O2 0.687 0.687 0.018
O3 0.813 0.186 0.170
O4 0.586 0.587 0.473
O5 0.414 0.413 0.527
O6 0.186 0.813 0.169
O7 0.313 0.313 0.982
O8 0.814 0.187 0.831
Cs1 0.000 0.000 0.500
Bi1 0.461 0.461 0.189
Bi2 0.539 0.539 0.811
U1 0.000 0.000 0.000
# Space-group type: C2/m, No. 12
# Energy relative to the elements, uncorrected: -1753 meV/atom
# N(E_F): 0.005 states/eV per atom
# Total energy: -80.6 eV for the cell shown

> What is the total energy in the sixth record?

-45.6 eV for the cell shown

> Which of these has the lowest N(E_F)?

CsUBi2O8